No. 1
A plane-wave DFT calculation with GGA-PBE was carried out for a geometry-optimized La2LuBiO6 structure.

Cell lengths 5.893, 6.108, 10.355 Å; angles 90.00, 124.51, 90.00 degrees
Fractional positions:
Bi 0.500 0.000 0.000
Bi 0.500 0.500 0.500
La 0.233 0.054 0.249
La 0.767 0.554 0.251
La 0.233 0.446 0.749
La 0.767 0.946 0.751
Lu 0.000 0.500 0.000
Lu 0.000 0.000 0.500
O 0.770 0.318 0.071
O 0.897 0.801 0.072
O 0.376 0.437 0.239
O 0.624 0.937 0.261
O 0.103 0.301 0.428
O 0.230 0.818 0.429
O 0.770 0.182 0.571
O 0.897 0.699 0.572
O 0.376 0.063 0.739
O 0.624 0.563 0.761
O 0.103 0.199 0.928
O 0.230 0.682 0.929

Electronic total energy, eV for the cell shown: -154.43
Space-group type: P2_1/c (14)
Crystal system: monoclinic

No. 2
A plane-wave DFT calculation with GGA-PBE was carried out for a geometry-optimized LaMgBiOs structure.

Cell lengths 5.110, 5.110, 5.110 Å; angles 60.00, 60.00, 60.00 degrees
Fractional positions:
Bi 0.500 0.500 0.500
La 0.250 0.250 0.250
Mg 0.750 0.750 0.750
Os 0.000 0.000 0.000

Electronic total energy, eV for the cell shown: -21.01
Space-group type: F-43m (216)
E above lowest polymorph, meV per atom: 85
Crystal system: cubic

No. 3
A plane-wave DFT calculation with GGA-PBE was carried out for a geometry-optimized LaMgBiOs structure.

Cell lengths 5.025, 5.025, 5.025 Å; angles 60.00, 60.00, 60.00 degrees
Fractional positions:
Bi 0.250 0.250 0.250
La 0.500 0.500 0.500
Mg 0.750 0.750 0.750
Os 0.000 0.000 0.000

Electronic total energy, eV for the cell shown: -21.13
Space-group type: F-43m (216)
E above lowest polymorph, meV per atom: 54
Crystal system: cubic

No. 4
A plane-wave DFT calculation with GGA-PBE was carried out for a geometry-optimized LaMgBiOs structure.

Cell lengths 5.018, 5.018, 5.018 Å; angles 60.00, 60.00, 60.00 degrees
Fractional positions:
Bi 0.000 0.000 0.000
La 0.500 0.500 0.500
Mg 0.750 0.750 0.750
Os 0.250 0.250 0.250

Electronic total energy, eV for the cell shown: -21.35
Space-group type: F-43m (216)
E above lowest polymorph, meV per atom: 0
Crystal system: cubic

No. 5
A plane-wave DFT calculation with GGA-PBE was carried out for a geometry-optimized LaBiMo structure.

Cell lengths 5.243, 5.243, 5.243 Å; angles 60.00, 60.00, 60.00 degrees
Fractional positions:
Bi 0.250 0.250 0.250
La 0.000 0.000 0.000
Mo 0.750 0.750 0.750

Electronic total energy, eV for the cell shown: -16.80
Space-group type: F-43m (216)
E above lowest polymorph, meV per atom: 625
Crystal system: cubic

No. 6
A plane-wave DFT calculation with GGA-PBE was carried out for a geometry-optimized LaBiMo structure.

Cell lengths 4.873, 4.873, 4.873 Å; angles 60.00, 60.00, 60.00 degrees
Fractional positions:
Bi 0.250 0.250 0.250
La 0.750 0.750 0.750
Mo 0.000 0.000 0.000

Electronic total energy, eV for the cell shown: -18.68
Space-group type: F-43m (216)
E above lowest polymorph, meV per atom: 0
Crystal system: cubic

No. 7
A plane-wave DFT calculation with GGA-PBE was carried out for a geometry-optimized LaNbBi structure.

Cell lengths 5.280, 5.280, 5.280 Å; angles 60.00, 60.00, 60.00 degrees
Fractional positions:
Bi 0.250 0.250 0.250
La 0.000 0.000 0.000
Nb 0.750 0.750 0.750

Electronic total energy, eV for the cell shown: -16.68
Space-group type: F-43m (216)
Crystal system: cubic

No. 8
A plane-wave DFT calculation with GGA-PBE was carried out for a geometry-optimized LaNdBi structure.

Cell lengths 5.380, 5.380, 5.380 Å; angles 60.00, 60.00, 60.00 degrees
Fractional positions:
Bi 0.000 0.000 0.000
La 0.250 0.250 0.250
Nd 0.750 0.750 0.750

Electronic total energy, eV for the cell shown: -15.20
Space-group type: F-43m (216)
Crystal system: cubic